{"formula": "Mg5C3", "functional": "PBE-GGA", "state": "optimized geometry", "ef_kj_per_mol_fu": 438, "de_polymorph_mev_per_atom": 0.0, "lattice": [[6.623, 0.000, 0.000], [-3.312, 5.736, 0.000], [0.000, 0.000, 5.406]], "species": ["Mg", "Mg", "Mg", "Mg", "Mg", "Mg", "Mg", "Mg", "Mg", "Mg", "C", "C", "C", "C", "C", "C"], "fractional_positions": [[0.000, 0.270, 0.250], [0.000, 0.730, 0.750], [0.270, 0.000, 0.250], [0.270, 0.270, 0.750], [0.333, 0.667, 0.000], [0.333, 0.667, 0.500], [0.667, 0.333, 0.000], [0.667, 0.333, 0.500], [0.730, 0.000, 0.750], [0.730, 0.730, 0.250], [0.000, 0.378, 0.750], [0.000, 0.622, 0.250], [0.378, 0.000, 0.750], [0.378, 0.378, 0.250], [0.622, 0.000, 0.250], [0.622, 0.622, 0.750]]}

=====

{"formula": "CsH2I", "functional": "PBE-GGA", "state": "optimized geometry", "de_polymorph_mev_per_atom": 1018.8, "lattice": [[-2.636, 2.636, 7.795], [2.636, -2.636, 7.795], [2.636, 2.636, -7.795]], "species": ["Cs", "Cs", "H", "H", "H", "H", "I", "I"], "fractional_positions": [[0.000, 0.000, 0.000], [0.750, 0.250, 0.500], [0.330, 0.125, 0.705], [0.375, 0.670, 0.795], [0.420, 0.625, 0.295], [0.875, 0.580, 0.205], [0.250, 0.750, 0.500], [0.500, 0.500, 0.000]]}

=====

{"formula": "CaSbPb2", "functional": "PBE-GGA", "state": "optimized geometry", "e_form_raw_ev_per_atom": -0.06, "lattice": [[2.124, 1.226, 8.538], [-2.124, 1.226, 8.538], [0.000, -2.453, 8.538]], "species": ["Ca", "Sb", "Pb", "Pb"], "fractional_positions": [[0.000, 0.000, 0.000], [0.500, 0.500, 0.500], [0.242, 0.242, 0.242], [0.758, 0.758, 0.758]]}

=====

no.,D(E_F) (states/eV/atom)
1,0.55
2,0.26
3,1.06